This record from Alexandria describes CdReP2 after structural relaxation. The functional is PBE.

abc: 5.901 6.649 3.173
angles: 90.00 91.63 90.00
Space group C2/m (No. 12)
Symmetry-distinct sites (fractional):
Cd (0.000, 0.000, 0.000) [2 per cell]
Re (0.000, 0.500, 0.000) [2 per cell]
P (0.250, 0.250, 0.500) [4 per cell]

## Properties
total magnetic moment	0.0	μB per formula unit
E_tot	-5.391	eV per atom
calculated formation energy	2.6	eV/f.u.

---

This record from Alexandria describes Pm4MgCd5 after structural relaxation. The functional is PBE.

abc: 3.771 3.771 18.899
angles: 90.00 90.00 90.00
Space group P4/mmm (No. 123)
Symmetry-distinct sites (fractional):
Pm (0.000, 0.000, 0.104) [2 per cell]
Pm (0.000, 0.000, 0.309) [2 per cell]
Mg (0.000, 0.000, 0.500) [1 per cell]
Cd (0.500, 0.500, 0.000) [1 per cell]
Cd (0.500, 0.500, 0.206) [2 per cell]
Cd (0.500, 0.500, 0.415) [2 per cell]

## Properties
total magnetic moment	0.1	μB per formula unit
E_tot	-2.801	eV per atom
calculated formation energy	-2.8	eV/f.u.

---

This record from Alexandria describes PrEr6S8 after structural relaxation. The functional is PBE.

abc: 10.957 10.957 10.957
angles: 90.00 90.00 90.00
Space group Fm-3m (No. 225)
Symmetry-distinct sites (fractional):
Pr (0.000, 0.000, 0.000) [4 per cell]
Er (0.000, 0.250, 0.250) [24 per cell]
S (0.000, 0.000, 0.261) [24 per cell]
S (0.250, 0.250, 0.250) [8 per cell]

## Properties
total magnetic moment	0.0	μB per formula unit
E_tot	-6.347	eV per atom

---

This record from Alexandria describes Y2Tm5Th2 after structural relaxation. The functional is PBE.

abc: 22.147 3.453 7.969
angles: 90.00 98.32 90.00
Space group C2/m (No. 12)
Symmetry-distinct sites (fractional):
Y (0.178, 0.000, 0.149) [4 per cell]
Tm (0.000, 0.000, 0.000) [2 per cell]
Tm (0.091, 0.000, 0.728) [4 per cell]
Tm (0.192, 0.500, 0.543) [4 per cell]
Th (0.054, 0.500, 0.348) [4 per cell]

## Properties
total magnetic moment	0.0	μB per formula unit
E_tot	-5.291	eV per atom
distance to the lowest polymorph of the same formula	0.041	eV per atom
calculated formation energy	2.5	eV/f.u.

---

This record from Alexandria describes Y2HoZn6 after structural relaxation. The functional is PBE.

abc: 7.7340 7.7340 3.5196
angles: 90.00 90.00 120.00
Space group P6/mmm (No. 191)
Symmetry-distinct sites (fractional):
Y (0.3333, 0.6667, 0.0000) [2 per cell]
Ho (0.0000, 0.0000, 0.0000) [1 per cell]
Zn (0.0000, 0.3328, 0.5000) [6 per cell]

## Properties
total magnetic moment	0.0	μB per formula unit
E_tot	-3.188	eV per atom
calculated formation energy	-3.5	eV/f.u.

---

This record from Alexandria describes LaAg2Pt after structural relaxation. The functional is PBE.

abc: 4.123 4.123 21.474
angles: 90.00 90.00 90.00
Space group I-42d (No. 122)
Symmetry-distinct sites (fractional):
La (0.000, 0.000, 0.000) [4 per cell]
Ag (0.223, 0.250, 0.625) [8 per cell]
Pt (0.000, 0.000, 0.500) [4 per cell]

## Properties
total magnetic moment	0.0	μB per formula unit
E_tot	-4.535	eV per atom
distance to the lowest polymorph of the same formula	0.155	eV per atom
calculated formation energy	-1.5	eV/f.u.